First-principles (PBE) data for a relaxed structure of LiCaTm2In4, as listed in Alexandria via LeMat-Bulk.

E	-3.35	eV per atom
symmetry	R-3m
calculated formation energy	-0.38	eV per atom

```
LiCaTm2In4
1.0
2.610 1.507 8.606
-2.610 1.507 8.606
0.000 -3.013 8.606
Li Ca Tm In
1 1 2 4
Cartesian
0.000 0.000 0.000
0.000 0.000 12.909
0.000 0.000 6.501
0.000 0.000 19.317
0.000 0.000 3.122
0.000 0.000 9.616
0.000 0.000 16.202
0.000 0.000 22.695
```

First-principles (PBE) data for a relaxed structure of LiCaV2In, as listed in Alexandria via LeMat-Bulk.

E	-3.99	eV per atom
symmetry	P4/mmm
calculated formation energy	0.98	eV per atom

```
LiCaV2In
1.0
4.750 0.000 0.000
0.000 4.750 0.000
0.000 0.000 4.970
Li Ca V In
1 1 2 1
Cartesian
0.000 0.000 0.000
0.000 0.000 2.485
0.000 2.375 0.000
2.375 0.000 0.000
2.375 2.375 2.485
```

First-principles (PBE) data for a relaxed structure of Li2CaInW, as listed in Alexandria via LeMat-Bulk.

E	-3.44	eV per atom
symmetry	P4/mmm
calculated formation energy	0.86	eV per atom

```
Li2CaInW
1.0
5.046 0.000 0.000
0.000 5.046 0.000
0.000 0.000 5.301
Li Ca In W
2 1 1 1
Cartesian
0.000 2.523 0.000
2.523 0.000 0.000
0.000 0.000 2.650
2.523 2.523 2.650
2.523 2.523 0.000
```

First-principles (PBE) data for a relaxed structure of LiCaIn2W, as listed in Alexandria via LeMat-Bulk.

E	-2.64	eV per atom
symmetry	P4/mmm
calculated formation energy	1.83	eV per atom

```
LiCaIn2W
1.0
5.347 0.000 0.000
0.000 5.347 0.000
0.000 0.000 4.105
Li Ca In W
1 1 2 1
Cartesian
0.000 0.000 0.000
0.000 0.000 2.052
0.000 2.674 2.052
2.674 0.000 2.052
2.674 2.674 0.000
```

First-principles (PBE) data for a relaxed structure of Li2Ca2YIn2, as listed in Alexandria via LeMat-Bulk.

E	-3.10	eV per atom
symmetry	R-3m
calculated formation energy	-0.27	eV per atom

```
Li2Ca2YIn2
1.0
2.482 1.433 9.099
-2.482 1.433 9.099
0.000 -2.866 9.099
Li Ca Y In
2 2 1 2
Cartesian
0.000 0.000 3.052
0.000 0.000 24.245
0.000 0.000 10.241
0.000 0.000 17.056
0.000 0.000 13.648
0.000 0.000 6.290
0.000 0.000 21.006
```

First-principles (PBE) data for a relaxed structure of LiCaY2In4, as listed in Alexandria via LeMat-Bulk.

E	-3.88	eV per atom
symmetry	R-3m
calculated formation energy	-0.41	eV per atom

```
LiCaY2In4
1.0
2.629 1.518 8.675
-2.629 1.518 8.675
0.000 -3.035 8.675
Li Ca Y In
1 1 2 4
Cartesian
0.000 0.000 0.000
0.000 0.000 13.013
0.000 0.000 6.569
0.000 0.000 19.457
0.000 0.000 3.163
0.000 0.000 9.704
0.000 0.000 16.322
0.000 0.000 22.863
```

First-principles (PBE) data for a relaxed structure of LiCaZnIn, as listed in Alexandria via LeMat-Bulk.

E	-2.30	eV per atom
symmetry	F-43m
calculated formation energy	-0.31	eV per atom

```
LiCaZnIn
1.0
0.000 3.458 3.458
3.458 0.000 3.458
3.458 3.458 0.000
Li Ca Zn In
1 1 1 1
Cartesian
0.000 0.000 0.000
5.186 5.186 5.186
3.458 3.458 3.458
1.729 1.729 1.729
```

First-principles (PBE) data for a relaxed structure of Li5Ca2Zn2In, as listed in Alexandria via LeMat-Bulk.

E	-2.04	eV per atom
symmetry	P4/mbm
calculated formation energy	-0.15	eV per atom

```
Li5Ca2Zn2In
1.0
9.899 0.000 0.000
0.000 9.899 0.000
0.000 0.000 4.519
Li Ca Zn In
10 4 4 2
Cartesian
0.000 4.950 0.000
0.562 2.068 0.000
2.068 9.337 0.000
2.881 4.388 0.000
4.388 7.018 0.000
4.950 0.000 0.000
5.511 2.881 0.000
7.018 5.511 0.000
7.831 0.562 0.000
9.337 7.831 0.000
1.878 6.828 2.260
3.071 1.878 2.260
6.828 8.021 2.260
8.021 3.071 2.260
1.000 3.949 2.260
3.949 8.899 2.260
5.950 1.000 2.260
8.899 5.950 2.260
0.000 0.000 2.260
4.950 4.950 2.260
```

Asked for total magnetic moment across the records above, the calculation gives 0.000, 7.158, 2.643, 0.000, 0.000, 0.000, 0.000, 0.000 μB/cell in order.